No. 1
This record from the Alexandria database describes an optimized crystal structure of Pm2YPu3Se6. The functional is PBE.

Output
As for the formation energy from raw total energies: -1.690 eV per atom. The calculation puts the density at 8.7 g cm⁻³. Its crystal system is monoclinic. The total energy is -8.346 eV/atom.

Geometry as POSCAR:
```
Pm2YPu3Se6
1.0
9.043 -2.073 0.000
9.043 2.073 0.000
-1.847 0.000 8.097
Pm Y Pu Se
2 1 3 6
direct
0.166 0.166 0.336 Pm
0.834 0.834 0.664 Pm
0.500 0.500 0.000 Y
0.168 0.168 0.835 Pu
0.500 0.500 0.500 Pu
0.832 0.832 0.165 Pu
0.001 0.001 0.754 Se
0.334 0.334 0.412 Se
0.335 0.335 0.920 Se
0.665 0.665 0.080 Se
0.666 0.666 0.588 Se
0.999 0.999 0.246 Se
```

=====

No. 2
This record from the Alexandria database describes an optimized crystal structure of Rb2SrBeI6. The functional is PBE.

Output
As for the formation energy from raw total energies: -1.107 eV per atom. The calculation puts the density at 4.0 g cm⁻³. Its crystal system is tetragonal. The total energy is -2.771 eV/atom.

Geometry as POSCAR:
```
Rb2SrBeI6
1.0
-4.217 4.217 5.951
4.217 -4.217 5.951
4.217 4.217 -5.951
Rb Sr Be I
2 1 1 6
direct
0.250 0.750 0.500 Rb
0.750 0.250 0.500 Rb
0.000 0.000 0.000 Sr
0.500 0.500 0.000 Be
0.271 0.271 0.000 I
0.271 0.271 0.541 I
0.271 0.729 0.000 I
0.729 0.271 0.000 I
0.729 0.729 0.000 I
0.729 0.729 0.459 I
```

=====

No. 3
This record from the Alexandria database describes an optimized crystal structure of KNa2Bi. The functional is PBE.

Output
The calculation puts the density at 2.9 g cm⁻³. The calculation puts the energy of formation from the pure elements at -0.150 eV per atom. Its crystal system is tetragonal. The total energy is -2.054 eV/atom.

Geometry as POSCAR:
```
KNa2Bi
1.0
5.569 0.000 0.000
0.000 5.569 0.000
0.000 0.000 21.434
K Na Bi
4 8 4
direct
0.000 0.000 0.000 K
0.000 0.500 0.250 K
0.500 0.000 0.750 K
0.500 0.500 0.500 K
0.146 0.250 0.625 Na
0.250 0.646 0.875 Na
0.250 0.854 0.375 Na
0.354 0.250 0.125 Na
0.646 0.750 0.125 Na
0.750 0.146 0.375 Na
0.750 0.354 0.875 Na
0.854 0.750 0.625 Na
0.000 0.000 0.500 Bi
0.000 0.500 0.750 Bi
0.500 0.000 0.250 Bi
0.500 0.500 0.000 Bi
```